# 1
Computed, not measured: an optimized crystal structure of Li8SbS6 at the GGA-PBEsol level of DFT.

The structure in CIF format:
```
data_Li8SbS6
_space_group_name_H-M_alt 'P 63 c m'
_space_group_IT_number 185
_space_group_name_Hall 'P 6c -2'
_cell_length_a 6.9538
_cell_length_b 6.9538
_cell_length_c 13.2953
_cell_angle_alpha 90.00
_cell_angle_beta 90.00
_cell_angle_gamma 120.00
loop_
_atom_site_label
_atom_site_fract_x
_atom_site_fract_y
_atom_site_fract_z
Li1 0.0000 0.3265 0.0000
Li2 0.0000 0.3801 0.6326
Li3 0.3333 0.6667 0.3687
Sb1 0.0000 0.0000 0.2739
S1 0.0000 0.0000 0.0834
S2 0.0000 0.3455 0.8154
S3 0.3333 0.6667 0.0517
```

Output
N(E_F): 10.47 states/eV/cell
Offset from the most stable computed form: 25 meV/atom

# 2
Computed, not measured: an optimized crystal structure of Li5SbS4 at the GGA-PBEsol level of DFT.

The structure in CIF format:
```
data_Li5SbS4
_space_group_name_H-M_alt 'P b c a'
_space_group_IT_number 61
_space_group_name_Hall '-P 2ac 2ab'
_cell_length_a 9.159
_cell_length_b 12.370
_cell_length_c 12.568
_cell_angle_alpha 90.00
_cell_angle_beta 90.00
_cell_angle_gamma 90.00
loop_
_atom_site_label
_atom_site_fract_x
_atom_site_fract_y
_atom_site_fract_z
Li1 0.011 0.184 0.173
Li2 0.121 0.100 0.624
Li3 0.163 0.623 0.121
Li4 0.178 0.147 0.403
Li5 0.180 0.602 0.876
Sb1 0.034 0.616 0.626
S1 0.025 0.716 0.986
S2 0.033 0.029 0.285
S3 0.201 0.510 0.515
S4 0.231 0.723 0.730
```

Output
Offset from the most stable computed form: 25 meV/atom

# 3
Computed, not measured: an optimized crystal structure of Li8SbS6 at the GGA-PBEsol level of DFT.

The structure in CIF format:
```
data_Li8SbS6
_space_group_name_H-M_alt 'R -3'
_space_group_IT_number 148
_space_group_name_Hall '-R 3'
_cell_length_a 6.7763
_cell_length_b 6.7763
_cell_length_c 18.7009
_cell_angle_alpha 90.00
_cell_angle_beta 90.00
_cell_angle_gamma 120.00
loop_
_atom_site_label
_atom_site_fract_x
_atom_site_fract_y
_atom_site_fract_z
Li1 0.0000 0.0000 0.1604
Li2 0.0063 0.3182 0.7120
Sb1 0.0000 0.0000 0.5000
S1 0.0081 0.3533 0.2468
```

Output
N(E_F): 19.08 states/eV/cell
Offset from the most stable computed form: 0 meV/atom

# 4
Computed, not measured: an optimized crystal structure of Li3SbS4 at the GGA-PBEsol level of DFT.

The structure in CIF format:
```
data_Li3SbS4
_space_group_name_H-M_alt 'P n m a'
_space_group_IT_number 62
_space_group_name_Hall '-P 2ac 2n'
_cell_length_a 7.083
_cell_length_b 8.841
_cell_length_c 10.009
_cell_angle_alpha 90.00
_cell_angle_beta 90.00
_cell_angle_gamma 90.00
loop_
_atom_site_label
_atom_site_fract_x
_atom_site_fract_y
_atom_site_fract_z
Li1 0.027 0.250 0.088
Li2 0.226 0.042 0.744
Sb1 0.074 0.250 0.494
S1 0.026 0.750 0.281
S2 0.138 0.750 0.689
S3 0.210 0.546 0.983
```

Output
Offset from the most stable computed form: 51 meV/atom

# 5
Computed, not measured: an optimized crystal structure of Li8Sb2S at the GGA-PBEsol level of DFT.

The structure in CIF format:
```
data_Li8Sb2S
_space_group_name_H-M_alt 'C 1 2/c 1'
_space_group_IT_number 15
_space_group_name_Hall '-C 2yc'
_cell_length_a 12.918
_cell_length_b 8.102
_cell_length_c 8.294
_cell_angle_alpha 90.00
_cell_angle_beta 116.74
_cell_angle_gamma 90.00
loop_
_atom_site_label
_atom_site_fract_x
_atom_site_fract_y
_atom_site_fract_z
Li1 0.061 0.108 0.433
Li2 0.098 0.421 0.078
Li3 0.142 0.216 0.827
Li4 0.198 0.407 0.409
Sb1 0.178 0.109 0.217
S1 0.000 0.454 0.750
```

Output
E_tot: -37.690 eV/f.u.

# 6
Computed, not measured: an optimized crystal structure of Li3SbS3 at the GGA-PBEsol level of DFT.

The structure in CIF format:
```
data_Li3SbS3
_space_group_name_H-M_alt 'P n a 21'
_space_group_IT_number 33
_space_group_name_Hall 'P 2c -2n'
_cell_length_a 7.772
_cell_length_b 6.762
_cell_length_c 9.979
_cell_angle_alpha 90.00
_cell_angle_beta 90.00
_cell_angle_gamma 90.00
loop_
_atom_site_label
_atom_site_fract_x
_atom_site_fract_y
_atom_site_fract_z
Li1 0.054 0.036 0.000
Li2 0.090 0.346 0.451
Li3 0.237 0.370 0.156
Sb1 0.228 0.392 0.772
S1 0.033 0.134 0.263
S2 0.160 0.692 0.457
S3 0.180 0.698 0.077
```

Output
N(E_F): 0.00 states/eV/cell
Offset from the most stable computed form: 0 meV/atom